A plane-wave DFT calculation with GGA-PBE was carried out for a relaxed Nd3CdRh crystal.

Values from the calculation:
ΔH_f (0 K) (eV/atom): -0.32
E above lowest polymorph (eV per atom): 0.059
M_tot (μB per cell): 0.00
D(E_F) (states/eV/cell): 10.581

Cell lengths 6.918, 5.385, 7.959 Å; angles 90.00, 94.84, 90.00 degrees
Sites, in units of the cell vectors:
Nd  0.000  0.000  0.000
Nd  0.000  0.500  0.323
Nd  0.281  0.000  0.608
Nd  0.459  0.000  0.177
Nd  0.554  0.500  0.865
Nd  0.781  0.000  0.552
Cd  0.048  0.500  0.739
Cd  0.493  0.500  0.407
Rh  0.235  0.500  0.073
Rh  0.613  0.000  0.852